! NpInHg2 PBE optimized geometry; values from VASP
&SYSTEM
  ibrav = 0, nat = 4, ntyp = 3
/
ATOMIC_SPECIES
Np 237.00 Np.upf
In 114.82 In.upf
Hg 200.59 Hg.upf
CELL_PARAMETERS angstrom
3.3381 0.0000 0.0000
0.0000 3.3381 0.0000
0.0000 0.0000 8.9049
ATOMIC_POSITIONS angstrom
Np 0.0000 0.0000 0.0000
In 0.0000 0.0000 4.4524
Hg 1.6690 1.6690 2.2523
Hg 1.6690 1.6690 6.6526
! Symmetry: No. 123
! Magnetic moment: 4.7 μB per cell
! Formation energy: 127 meV per atom
! DOS at the Fermi energy: 7.0 states/eV/f.u.
! Density: 12.60 Mg/m³


! Sr3PdRh PBE optimized geometry; values from VASP
&SYSTEM
  ibrav = 0, nat = 20, ntyp = 3
/
ATOMIC_SPECIES
Sr 87.62 Sr.upf
Pd 106.42 Pd.upf
Rh 102.91 Rh.upf
CELL_PARAMETERS angstrom
9.5899 0.0000 0.0000
0.0000 7.7959 0.0000
-2.9400 0.0000 8.4209
ATOMIC_POSITIONS angstrom
Sr -0.1584 0.1189 1.8150
Sr -1.6284 3.7790 6.0255
Sr 2.4186 5.1320 0.9395
Sr 0.9486 6.5618 5.1500
Sr 0.3525 1.5058 8.4114
Sr 1.8225 2.3921 4.2009
Sr 4.8274 5.4038 4.2201
Sr 6.2974 6.2901 0.0096
Sr 5.7013 1.2341 3.2710
Sr 4.2313 2.6639 7.4814
Sr 8.2783 4.0169 2.3954
Sr 6.8083 7.6770 6.6059
Pd 1.4675 4.1297 7.0507
Pd 2.9375 7.5642 2.8402
Pd 3.7124 0.2318 5.5807
Pd 5.1825 3.6662 1.3703
Rh -0.9734 1.2044 4.5291
Rh 0.4967 2.6936 0.3186
Rh 6.1533 5.1024 8.1023
Rh 7.6233 6.5915 3.8918
! Symmetry: No. 14
! Magnetic moment: 0.0 μB per cell
! Formation energy: -353 meV per atom
! DOS at the Fermi energy: 3.1 states/eV/f.u.
! Density: 4.98 Mg/m³


! MgCrW2 PBE optimized geometry; values from VASP
&SYSTEM
  ibrav = 0, nat = 4, ntyp = 3
/
ATOMIC_SPECIES
Mg 24.30 Mg.upf
Cr 52.00 Cr.upf
W 183.84 W.upf
CELL_PARAMETERS angstrom
1.5781 -2.2230 0.0000
1.5781 2.2230 0.0000
0.0000 0.0000 8.9739
ATOMIC_POSITIONS angstrom
Mg 0.0000 0.0000 0.0000
Cr 1.5781 0.0000 2.2693
W 0.0000 0.0000 4.2781
W 1.5781 0.0000 6.5345
! Symmetry: No. 35
! Magnetic moment: 0.0 μB per cell
! Formation energy: 302 meV per atom
! DOS at the Fermi energy: 3.5 states/eV/f.u.
! Density: 11.71 Mg/m³


! LiMg14BO15 PBE optimized geometry; values from VASP
&SYSTEM
  ibrav = 0, nat = 31, ntyp = 4
/
ATOMIC_SPECIES
Li 6.94 Li.upf
Mg 24.30 Mg.upf
B 10.81 B.upf
O 16.00 O.upf
CELL_PARAMETERS angstrom
4.2660 0.0000 0.0000
0.0000 8.2906 0.0000
0.0000 0.0000 8.5874
ATOMIC_POSITIONS angstrom
Li 0.0000 0.0000 0.0000
Mg 0.0000 0.0000 4.2666
Mg 0.0000 2.0411 6.4349
Mg 0.0000 2.1404 2.1253
Mg 0.0000 4.1453 4.2618
Mg 0.0000 6.1502 2.1253
Mg 0.0000 6.2495 6.4349
Mg 2.1330 0.0000 2.0538
Mg 2.1330 0.0000 6.4967
Mg 2.1330 2.0685 4.2848
Mg 2.1330 2.1427 8.5595
Mg 2.1330 4.1453 2.0364
Mg 2.1330 4.1453 6.4674
Mg 2.1330 6.1478 8.5595
Mg 2.1330 6.2221 4.2848
B 0.0000 4.1453 8.0312
O 0.0000 0.0000 2.1093
O 0.0000 0.0000 6.4675
O 0.0000 2.0776 4.3361
O 0.0000 2.7111 8.4939
O 0.0000 4.1453 2.3136
O 0.0000 5.5795 8.4939
O 0.0000 6.2130 4.3361
O 2.1330 0.0000 4.2793
O 2.1330 0.0000 8.5678
O 2.1330 2.0781 6.4477
O 2.1330 2.0855 2.0942
O 2.1330 4.1453 4.3886
O 2.1330 4.1453 8.4826
O 2.1330 6.2051 2.0942
O 2.1330 6.2125 6.4477
! Symmetry: No. 25
! Magnetic moment: 0.0 μB per cell
! DOS at the Fermi energy: 0.0 states/eV/f.u.
! Density: 3.27 Mg/m³
! Formation energy from raw total energies: -2.436 eV/atom


! SmHoEr2S6 PBE optimized geometry; values from VASP
&SYSTEM
  ibrav = 0, nat = 10, ntyp = 4
/
ATOMIC_SPECIES
Sm 150.36 Sm.upf
Ho 164.93 Ho.upf
Er 167.26 Er.upf
S 32.06 S.upf
CELL_PARAMETERS angstrom
3.4572 1.9960 6.1588
-3.4572 1.9960 6.1588
0.0000 -3.9920 6.1588
ATOMIC_POSITIONS angstrom
Sm 0.0000 0.0000 0.0000
Ho 0.0000 0.0000 9.1687
Er 0.0000 0.0000 5.4556
Er 0.0000 0.0000 14.7361
S -2.0507 -0.0937 7.3007
S -1.3572 -2.0240 10.3676
S 1.1064 -1.7291 7.3007
S -1.0742 2.1874 10.3676
S 0.9442 1.8228 7.3007
S 2.4314 -0.1634 10.3676
! Symmetry: No. 146
! Magnetic moment: 0.0 μB per cell
! DOS at the Fermi energy: 0.0 states/eV/f.u.
! Density: 5.48 Mg/m³
! Formation energy from raw total energies: -2.054 eV/atom


! PrGe2PtRh PBE optimized geometry; values from VASP
&SYSTEM
  ibrav = 0, nat = 5, ntyp = 4
/
ATOMIC_SPECIES
Pr 140.91 Pr.upf
Ge 72.64 Ge.upf
Pt 195.08 Pt.upf
Rh 102.91 Rh.upf
CELL_PARAMETERS angstrom
-2.1005 2.1005 5.3350
2.1005 -2.1005 5.3350
2.1005 2.1005 -5.3350
ATOMIC_POSITIONS angstrom
Pr 0.0000 0.0000 0.0000
Ge 0.0000 0.0000 4.0645
Ge 0.0000 0.0000 6.6054
Pt 2.1005 0.0000 2.6675
Rh 0.0000 2.1005 2.6675
! Symmetry: No. 119
! Magnetic moment: 0.0 μB per cell
! Formation energy: -857 meV per atom
! DOS at the Fermi energy: 4.0 states/eV/f.u.
! Density: 10.30 Mg/m³